Compound: KCeAg2S4
Source: Alexandria
Functional: GGA-PBE
Structure: optimized geometry

## Properties
raw total energy = -4.456 eV/atom
Fermi-level density of states = 3.80 states/eV per cell

Cell: 6.9981 6.3706 6.3706 Å, 66.73 56.68 56.68°
Closest atoms and distances in Å follow each position.
Fractional coordinates of all 8 atoms:
K 0.0000 0.0000 0.0000  8 S 3.22-3.23
Ce 0.5000 0.5000 0.5000  4 S 2.67
Ag 0.2479 0.2521 0.2521  4 S 2.53
Ag 0.7521 0.7479 0.7479  4 S 2.53
S 0.4834 0.0845 0.5165  2 Ag 2.53, 1 Ce 2.67
S 0.0843 0.9155 0.4835  2 Ag 2.53, 1 Ce 2.67
S 0.9157 0.5165 0.0845  2 Ag 2.53, 1 Ce 2.67
S 0.5166 0.4835 0.9155  2 Ag 2.53, 1 Ce 2.67